First-principles (PBE) data for crystalline TaBeTcGe at its relaxed geometry, as listed in OQMD via LeMat-Bulk.

**Energy above the lowest structure with this stoichiometry**: 0.0 meV per atom

Lattice parameters (Å, degrees): 4.3091 4.3091 4.3091 60.00 60.00 60.00
Fractional coordinates of all 4 atoms:
1 Be 0.7500 0.7500 0.7500
2 Ge 0.5000 0.5000 0.5000
3 Ta 0.0000 0.0000 0.0000
4 Tc 0.2500 0.2500 0.2500

=====

First-principles (PBE) data for crystalline TaBeTcGe at its relaxed geometry, as listed in OQMD via LeMat-Bulk.

**Energy above the lowest structure with this stoichiometry**: 70.7 meV per atom

Lattice parameters (Å, degrees): 4.2921 4.2921 4.2921 60.00 60.00 60.00
Fractional coordinates of all 4 atoms:
1 Be 0.7500 0.7500 0.7500
2 Ge 0.2500 0.2500 0.2500
3 Ta 0.0000 0.0000 0.0000
4 Tc 0.5000 0.5000 0.5000

=====

First-principles (PBE) data for crystalline TbTmBe2Ge2 at its relaxed geometry, as listed in OQMD via LeMat-Bulk.

**Electronic total energy**: -0.1824 hartree per atom

Lattice parameters (Å, degrees): 3.9046 3.9046 8.0471 90.00 90.00 120.00
Fractional coordinates of all 6 atoms:
1 Be 0.6667 0.3333 0.2473
2 Be 0.3333 0.6667 0.7527
3 Ge 0.3333 0.6667 0.2462
4 Ge 0.6667 0.3333 0.7538
5 Tb 0.0000 0.0000 0.5000
6 Tm 0.0000 0.0000 0.0000

=====

First-principles (PBE) data for crystalline TbZrBe2Ge2 at its relaxed geometry, as listed in OQMD via LeMat-Bulk.

**Electronic total energy**: -0.2075 hartree per atom

Lattice parameters (Å, degrees): 3.8443 3.8443 7.8040 90.00 90.00 120.00
Fractional coordinates of all 6 atoms:
1 Be 0.6667 0.3333 0.2276
2 Be 0.3333 0.6667 0.7724
3 Ge 0.3333 0.6667 0.2393
4 Ge 0.6667 0.3333 0.7607
5 Tb 0.0000 0.0000 0.5000
6 Zr 0.0000 0.0000 0.0000

=====

First-principles (PBE) data for crystalline Be2TcGe at its relaxed geometry, as listed in OQMD via LeMat-Bulk.

**Electronic total energy**: -0.1970 hartree per atom

Lattice parameters (Å, degrees): 4.0675 4.0675 4.0675 60.00 60.00 60.00
Fractional coordinates of all 4 atoms:
1 Be 0.0000 0.0000 0.0000
2 Be 0.7500 0.7500 0.7500
3 Ge 0.5000 0.5000 0.5000
4 Tc 0.2500 0.2500 0.2500

=====

First-principles (PBE) data for crystalline BeGeTeW at its relaxed geometry, as listed in OQMD via LeMat-Bulk.

**Energy above the lowest structure with this stoichiometry**: 0.0 meV per atom

Lattice parameters (Å, degrees): 4.5666 4.5666 4.5666 60.00 60.00 60.00
Fractional coordinates of all 4 atoms:
1 Be 0.7500 0.7500 0.7500
2 Ge 0.0000 0.0000 0.0000
3 Te 0.5000 0.5000 0.5000
4 W 0.2500 0.2500 0.2500

=====

First-principles (PBE) data for crystalline BeGeTeW at its relaxed geometry, as listed in OQMD via LeMat-Bulk.

**Energy above the lowest structure with this stoichiometry**: 219.6 meV per atom

Lattice parameters (Å, degrees): 4.6021 4.6021 4.6021 60.00 60.00 60.00
Fractional coordinates of all 4 atoms:
1 Be 0.7500 0.7500 0.7500
2 Ge 0.5000 0.5000 0.5000
3 Te 0.2500 0.2500 0.2500
4 W 0.0000 0.0000 0.0000

=====

First-principles (PBE) data for crystalline BeGeTeW at its relaxed geometry, as listed in OQMD via LeMat-Bulk.

**Energy above the lowest structure with this stoichiometry**: 234.8 meV per atom

Lattice parameters (Å, degrees): 4.5791 4.5791 4.5791 60.00 60.00 60.00
Fractional coordinates of all 4 atoms:
1 Be 0.7500 0.7500 0.7500
2 Ge 0.2500 0.2500 0.2500
3 Te 0.5000 0.5000 0.5000
4 W 0.0000 0.0000 0.0000

=====

First-principles (PBE) data for crystalline TmBeGe at its relaxed geometry, as listed in OQMD via LeMat-Bulk.

**Electronic total energy**: -0.1456 hartree per atom

Lattice parameters (Å, degrees): 4.5289 4.5289 4.5289 60.00 60.00 60.00
Fractional coordinates of all 3 atoms:
1 Be 0.2500 0.2500 0.2500
2 Ge 0.7500 0.7500 0.7500
3 Tm 0.0000 0.0000 0.0000

=====

First-principles (PBE) data for crystalline TmBeGe at its relaxed geometry, as listed in OQMD via LeMat-Bulk.

**Electronic total energy**: -0.1605 hartree per atom

Lattice parameters (Å, degrees): 4.3629 4.3629 4.3629 60.00 60.00 60.00
Fractional coordinates of all 3 atoms:
1 Be 0.2500 0.2500 0.2500
2 Ge 0.0000 0.0000 0.0000
3 Tm 0.7500 0.7500 0.7500

=====

First-principles (PBE) data for crystalline YTmBe2Ge2 at its relaxed geometry, as listed in OQMD via LeMat-Bulk.

**Electronic total energy**: -0.1938 hartree per atom

Lattice parameters (Å, degrees): 3.9029 3.9029 8.0274 90.00 90.00 120.00
Fractional coordinates of all 6 atoms:
1 Be 0.6667 0.3333 0.2466
2 Be 0.3333 0.6667 0.7534
3 Ge 0.3333 0.6667 0.2457
4 Ge 0.6667 0.3333 0.7543
5 Tm 0.0000 0.0000 0.0000
6 Y 0.0000 0.0000 0.5000

=====

First-principles (PBE) data for crystalline TmZrBe2Ge2 at its relaxed geometry, as listed in OQMD via LeMat-Bulk.

**Electronic total energy**: -0.2060 hartree per atom

Lattice parameters (Å, degrees): 3.8249 3.8249 7.6657 90.00 90.00 120.00
Fractional coordinates of all 6 atoms:
1 Be 0.6667 0.3333 0.2672
2 Be 0.3333 0.6667 0.7328
3 Ge 0.3333 0.6667 0.2556
4 Ge 0.6667 0.3333 0.7444
5 Tm 0.0000 0.0000 0.0000
6 Zr 0.0000 0.0000 0.5000